Entry 1:
{
  "formula": "BaNaPuSe3",
  "functional": "GGA-PBE",
  "state": "relaxed",
  "lattice_angstrom": [[4.4287, 0.0000, 0.0000], [0.0000, 8.8330, 0.3421], [0.0000, -3.0642, 9.1348]],
  "species": ["Ba", "Ba", "Na", "Na", "Pu", "Pu", "Se", "Se", "Se", "Se", "Se", "Se"],
  "frac_coords": [[0.7500, 0.7859, 0.7571], [0.2500, 0.2141, 0.2429], [0.2500, 0.0929, 0.5864], [0.7500, 0.9071, 0.4136], [0.2500, 0.6751, 0.1543], [0.7500, 0.3249, 0.8457], [0.2500, 0.7492, 0.4767], [0.7500, 0.8901, 0.1243], [0.7500, 0.4578, 0.1556], [0.7500, 0.2508, 0.5233], [0.2500, 0.5422, 0.8444], [0.2500, 0.1099, 0.8757]],
  "space_group": "P2_1/m (11)",
  "formation_energy_uncorrected_ev_per_atom": -1.486,
  "total_energy_ev_per_atom": -6.1574
}

Entry 2:
{
  "formula": "UTi2Pd",
  "functional": "GGA-PBE",
  "state": "relaxed",
  "lattice_angstrom": [[2.9560, 0.0000, 0.0000], [0.0000, 4.8107, 0.0000], [0.0000, 0.0000, 4.8107]],
  "species": ["U", "Pd", "Ti", "Ti"],
  "frac_coords": [[0.5000, 0.5000, 0.5000], [0.5000, 0.0000, 0.0000], [0.0000, 0.0000, 0.5000], [0.0000, 0.5000, 0.0000]],
  "e_above_lowest_polymorph_ev_per_atom": 0.000,
  "space_group": "P4/mmm (123)",
  "total_energy_ev_per_atom": -8.1876
}

Entry 3:
{
  "formula": "Cs2SrIBr3",
  "functional": "GGA-PBE",
  "state": "relaxed",
  "lattice_angstrom": [[6.4195, 0.0000, 0.0000], [0.0000, 6.0232, 0.0000], [-3.2098, -3.0116, 9.1933]],
  "species": ["Cs", "Cs", "Sr", "I", "Br", "Br", "Br"],
  "frac_coords": [[0.6443, 0.6443, 0.2886], [0.3557, 0.3557, 0.7114], [0.0000, 0.0000, 0.0000], [0.5000, 0.0000, 0.0000], [0.0000, 0.5000, 0.0000], [0.1642, 0.1642, 0.3285], [0.8358, 0.8358, 0.6715]],
  "space_group": "Immm (71)",
  "formation_energy_uncorrected_ev_per_atom": -1.834,
  "total_energy_ev_per_atom": -3.2562
}

Entry 4:
{
  "formula": "TbNpC",
  "functional": "GGA-PBE",
  "state": "relaxed",
  "lattice_angstrom": [[-4.0158, 4.7780, -0.6516], [-1.4767, -0.8369, 2.9637], [2.6173, 2.1937, -0.0443]],
  "species": ["Np", "C", "Tb"],
  "frac_coords": [[0.2241, 0.3333, 0.6667], [0.0088, 0.0000, 0.0000], [0.7671, 0.6667, 0.3333]],
  "e_above_lowest_polymorph_ev_per_atom": 0.000,
  "space_group": "P3m1 (156)",
  "total_energy_ev_per_atom": -8.8361
}

Entry 5:
{
  "formula": "CaNbGeTeP",
  "functional": "GGA-PBE",
  "state": "relaxed",
  "lattice_angstrom": [[-0.8351, -3.1338, 1.3534], [1.9456, 0.7079, 2.8396], [-13.2911, 6.7479, 7.4243]],
  "species": ["Ca", "Ca", "Nb", "Nb", "Ge", "Ge", "Te", "Te", "P", "P"],
  "frac_coords": [[0.0000, 0.0000, 0.4686], [0.5000, 0.5000, 0.9686], [0.0000, 0.0000, 0.2273], [0.5000, 0.5000, 0.7273], [0.0000, 0.0000, 0.6497], [0.5000, 0.5000, 0.1497], [0.0000, 0.0000, 0.8287], [0.5000, 0.5000, 0.3287], [0.0000, 0.0000, 0.0711], [0.5000, 0.5000, 0.5711]],
  "e_above_lowest_polymorph_ev_per_atom": 0.165,
  "space_group": "I4mm (107)",
  "formation_energy_uncorrected_ev_per_atom": -0.440,
  "total_energy_ev_per_atom": -5.4885
}

Entry 6:
{
  "formula": "Li2HgOF",
  "functional": "GGA-PBE",
  "state": "relaxed",
  "lattice_angstrom": [[-0.9121, 2.8998, 4.2981], [-2.9490, -2.6740, 1.1782], [3.5914, -2.7943, 2.6473]],
  "species": ["Li", "Li", "Hg", "O", "F"],
  "frac_coords": [[0.0000, 0.0000, 0.5000], [0.5000, 0.0000, 0.0000], [0.0000, 0.0000, 0.0000], [0.0000, 0.5000, 0.0000], [0.5000, 0.5000, 0.5000]],
  "space_group": "P4/mmm (123)",
  "formation_energy_uncorrected_ev_per_atom": -0.582,
  "total_energy_ev_per_atom": -2.7741
}

Entry 7:
{
  "formula": "LiLa2NpS6",
  "functional": "GGA-PBE",
  "state": "relaxed",
  "lattice_angstrom": [[-4.7303, 2.3920, -4.0490], [3.7210, -2.4795, -5.8119], [-4.9894, -8.2352, 0.3190]],
  "species": ["Li", "Li", "La", "La", "La", "La", "Np", "Np", "S", "S", "S", "S", "S", "S", "S", "S", "S", "S", "S", "S"],
  "frac_coords": [[0.5000, 0.0000, 0.0000], [0.0000, 0.5000, 0.5000], [0.0355, 0.9054, 0.2547], [0.5355, 0.5946, 0.7547], [0.9645, 0.0946, 0.7453], [0.4645, 0.4054, 0.2453], [0.5000, 0.0000, 0.5000], [0.0000, 0.5000, 0.0000], [0.3163, 0.6832, 0.0579], [0.8163, 0.8168, 0.5579], [0.6837, 0.3168, 0.9421], [0.1837, 0.1832, 0.4421], [0.3225, 0.6943, 0.4361], [0.8225, 0.8057, 0.9361], [0.6775, 0.3057, 0.5639], [0.1775, 0.1943, 0.0639], [0.8719, 0.5396, 0.2538], [0.3719, 0.9604, 0.7538], [0.1281, 0.4604, 0.7462], [0.6281, 0.0396, 0.2462]],
  "space_group": "P2_1/c (14)",
  "formation_energy_uncorrected_ev_per_atom": -1.683,
  "total_energy_ev_per_atom": -6.6305
}

Entry 8:
{
  "formula": "Ba6S5F",
  "functional": "GGA-PBE",
  "state": "relaxed",
  "lattice_angstrom": [[-3.8858, 6.7083, 0.5801], [-1.8512, -5.9763, 4.6146], [6.7430, 2.1184, 3.2596]],
  "species": ["S", "S", "S", "S", "S", "Ba", "Ba", "Ba", "Ba", "Ba", "Ba", "F"],
  "frac_coords": [[0.8318, 0.1682, 0.5000], [0.6664, 0.3336, 0.0000], [0.5000, 0.5000, 0.5000], [0.3336, 0.6664, 0.0000], [0.1682, 0.8318, 0.5000], [0.4155, 0.0831, 0.2497], [0.9169, 0.5845, 0.7503], [0.2492, 0.2492, 0.7496], [0.7508, 0.7508, 0.2504], [0.0831, 0.4155, 0.2497], [0.5845, 0.9169, 0.7503], [0.0000, 0.0000, 0.0000]],
  "space_group": "C2/m (12)",
  "formation_energy_uncorrected_ev_per_atom": -2.167,
  "total_energy_ev_per_atom": -5.0040
}

Entry 9:
{
  "formula": "Sr2CuCl2O2",
  "functional": "GGA-PBE",
  "state": "relaxed",
  "lattice_angstrom": [[-0.0130, 3.9243, -0.7219], [-0.5478, -0.7169, -3.8868], [-7.6588, -1.4307, 3.3921]],
  "species": ["Sr", "Sr", "O", "O", "Cu", "Cl", "Cl"],
  "frac_coords": [[0.3935, 0.3935, 0.7870], [0.6065, 0.6065, 0.2130], [0.5000, 0.0000, 0.0000], [0.0000, 0.5000, 0.0000], [0.0000, 0.0000, 0.0000], [0.1819, 0.1819, 0.3637], [0.8181, 0.8181, 0.6363]],
  "space_group": "I4/mmm (139)",
  "formation_energy_uncorrected_ev_per_atom": -2.075,
  "total_energy_ev_per_atom": -5.0851
}

Entry 10:
{
  "formula": "Dy3Ho7Er2",
  "functional": "GGA-PBE",
  "state": "relaxed",
  "lattice_angstrom": [[-1.4614, 3.2383, -0.0622], [-4.8428, -2.2277, -2.1969], [-4.1298, -1.5143, 18.2049]],
  "species": ["Dy", "Dy", "Dy", "Ho", "Ho", "Ho", "Ho", "Ho", "Ho", "Ho", "Er", "Er"],
  "frac_coords": [[0.5000, 0.5000, 0.0000], [0.5000, 0.6506, 0.3011], [0.5000, 0.3494, 0.6989], [0.0000, 0.4272, 0.8544], [0.0000, 0.7300, 0.4601], [0.0000, 0.0000, 0.0000], [0.0000, 0.5728, 0.1456], [0.5000, 0.0906, 0.1813], [0.5000, 0.9094, 0.8187], [0.0000, 0.2700, 0.5399], [0.0000, 0.8240, 0.6481], [0.0000, 0.1760, 0.3519]],
  "e_above_lowest_polymorph_ev_per_atom": 0.000,
  "space_group": "Cmmm (65)",
  "total_energy_ev_per_atom": -4.4185
}

Entry 11:
{
  "formula": "Pm2YZn2Ga2",
  "functional": "GGA-PBE",
  "state": "relaxed",
  "lattice_angstrom": [[-0.3538, -4.4385, -0.0872], [2.8669, -2.5081, 2.3072], [-4.9469, -2.0022, 8.2684]],
  "species": ["Pm", "Pm", "Y", "Zn", "Zn", "Ga", "Ga"],
  "frac_coords": [[0.1253, 0.1253, 0.6241], [0.8747, 0.8747, 0.3759], [0.0000, 0.0000, 0.0000], [0.6062, 0.6062, 0.1814], [0.3938, 0.3938, 0.8186], [0.7323, 0.7323, 0.8030], [0.2677, 0.2677, 0.1970]],
  "space_group": "R-3m (166)",
  "total_energy_ev_per_atom": -3.9232
}

Entry 12:
{
  "formula": "LiPr2ZnRh2",
  "functional": "GGA-PBE",
  "state": "relaxed",
  "lattice_angstrom": [[-1.8432, -2.8702, 4.6033], [-4.1186, -2.4430, -3.1723], [7.6462, -3.0302, -2.3932]],
  "species": ["Li", "Li", "Pr", "Pr", "Pr", "Pr", "Zn", "Zn", "Rh", "Rh", "Rh", "Rh"],
  "frac_coords": [[0.0000, 0.7500, 0.0000], [0.0000, 0.2500, 0.0000], [0.4146, 0.1674, 0.3347], [0.5854, 0.8326, 0.6653], [0.0799, 0.3326, 0.6653], [0.9201, 0.6674, 0.3347], [0.5000, 0.7500, 0.0000], [0.5000, 0.2500, 0.0000], [0.8648, 0.1224, 0.2448], [0.3801, 0.6224, 0.2448], [0.6199, 0.3776, 0.7552], [0.1352, 0.8776, 0.7552]],
  "space_group": "Ibam (72)",
  "total_energy_ev_per_atom": -5.1118
}